1 | Entry from the Alexandria database: an optimized crystal structure of La2Hg3Pb (GGA-PBE).

```
La2Hg3Pb
1.0
-0.217 6.331 -0.235
-5.960 -2.078 0.588
3.834 -1.774 8.630
La Hg Pb
4 6 2
Direct
0.250 0.750 0.500
0.756 0.756 0.000
0.750 0.250 0.500
0.244 0.244 0.000
0.329 0.835 0.163
0.165 0.671 0.837
0.671 0.165 0.837
0.835 0.329 0.163
0.164 0.164 0.328
0.836 0.836 0.672
0.666 0.666 0.331
0.334 0.334 0.669
```

Values from the calculation:
The total magnetic moment comes out at 0.168 μB/f.u. As for the space-group type: Fmmm. The calculation puts the density of states at the Fermi level at 0.7581 states/eV per atom.



2 | Entry from the Alexandria database: an optimized crystal structure of La2Hg3Pb (GGA-PBE).

```
La2Hg3Pb
1.0
-0.631 2.717 -3.770
-4.344 -0.693 0.228
1.631 6.083 7.028
La Hg Pb
2 3 1
Direct
0.119 0.119 0.239
0.882 0.382 0.764
0.708 0.708 0.416
0.551 0.551 0.103
0.288 0.788 0.576
0.451 0.951 0.902
```

Values from the calculation:
The total magnetic moment comes out at 0.000 μB/f.u. As for the space-group type: Imm2. The calculation puts the density of states at the Fermi level at 0.8476 states/eV per atom.



Short version: 1, 2, most stable first.



1 | Entry from the Alexandria database: an optimized crystal structure of La2HgRhPb (GGA-PBE).

```
La2HgRhPb
1.0
-5.146 1.738 -0.042
-0.343 -0.888 5.348
1.645 4.891 0.917
Pb Rh Hg La
1 1 1 2
Direct
0.500 0.500 0.500
0.000 0.000 0.000
0.000 0.000 0.500
0.000 0.500 0.000
0.500 0.000 0.000
```

Values from the calculation:
The total magnetic moment comes out at 0.000 μB/f.u. As for the space-group type: P4/mmm. The calculation puts the density of states at the Fermi level at 0.6235 states/eV per atom.



2 | Entry from the Alexandria database: an optimized crystal structure of La2HgRhPb (GGA-PBE).

```
La2HgRhPb
1.0
-3.224 1.455 4.224
-2.285 -5.013 -0.017
3.623 -1.663 3.338
Pb Rh Hg La
1 1 1 2
Direct
0.000 0.000 0.500
0.000 0.000 0.000
0.500 0.500 0.500
0.000 0.500 0.000
0.500 0.000 0.000
```

Values from the calculation:
The total magnetic moment comes out at 0.000 μB/f.u. As for the space-group type: P4/mmm. The calculation puts the density of states at the Fermi level at 0.9686 states/eV per atom.



Short version: 1, 2, most stable first.



1 | Entry from the Alexandria database: an optimized crystal structure of LaSnHgPb (GGA-PBE).

```
LaSnHgPb
1.0
-2.824 1.646 -4.433
-5.414 0.942 0.377
-1.925 5.153 -0.282
Pb Hg Sn La
1 1 1 1
Direct
0.500 0.500 0.500
0.750 0.750 0.750
0.250 0.250 0.250
0.000 0.000 0.000
```

Values from the calculation:
The total magnetic moment comes out at 0.000 μB/f.u. As for the space-group type: F-43m. The calculation puts the density of states at the Fermi level at 0.7988 states/eV per atom.



2 | Entry from the Alexandria database: an optimized crystal structure of LaSnHgPb (GGA-PBE).

```
LaSnHgPb
1.0
-3.622 -0.314 2.962
-1.005 -4.526 -1.709
2.913 -1.916 3.360
La Sn Hg Pb
1 1 1 1
Direct
0.000 0.000 0.000
0.500 0.000 0.500
0.000 0.500 0.500
0.500 0.500 0.000
```

Values from the calculation:
The total magnetic moment comes out at 0.000 μB/f.u. As for the space-group type: Pmmm. The calculation puts the density of states at the Fermi level at 0.5069 states/eV per atom.



Short version: 2, 1, most stable first.



1 | Entry from the Alexandria database: an optimized crystal structure of LaTlHgPb (GGA-PBE).

```
LaTlHgPb
1.0
5.489 0.000 0.000
2.744 4.753 0.000
2.744 1.584 4.482
Pb Tl Hg La
1 1 1 1
Direct
0.500 0.500 0.500
0.750 0.750 0.750
0.250 0.250 0.250
0.000 0.000 0.000
```

Values from the calculation:
The total magnetic moment comes out at 0.000 μB/f.u. As for the space-group type: F-43m. The calculation puts the density of states at the Fermi level at 0.3875 states/eV per atom.



2 | Entry from the Alexandria database: an optimized crystal structure of LaTlHgPb (GGA-PBE).

```
LaTlHgPb
1.0
4.808 0.000 0.000
0.000 4.785 0.000
0.000 0.000 4.990
La Tl Hg Pb
1 1 1 1
Direct
0.500 0.000 0.500
0.500 0.500 0.000
0.000 0.000 0.000
0.000 0.500 0.500
```

Values from the calculation:
The total magnetic moment comes out at 0.000 μB/f.u. As for the space-group type: Pmmm. The calculation puts the density of states at the Fermi level at 0.4996 states/eV per atom.



Short version: 2, 1, most stable first.